Version P
CrInP: single point on PBEsol structure, SCAN.

- symmetry = P3m1
- D(E_F) (states/eV/f.u.) = 1.105
- M_tot (μB per formula unit) = 0.561

Geometry as POSCAR:
```
CrInP
1.0
-0.371 -0.766 -2.883
-2.208 -0.486 1.980
-2.262 5.502 -1.171
Cr In P
1 1 1
Direct
0.000 0.000 0.041 Cr
0.333 0.667 0.682 In
0.667 0.333 0.277 P
```



Version Q
CrInP: single point on PBEsol structure, SCAN.

- symmetry = F-43m
- D(E_F) (states/eV/f.u.) = 1.746
- M_tot (μB per formula unit) = 4.158

Geometry as POSCAR:
```
CrInP
1.0
4.325 0.000 0.000
2.163 3.746 0.000
2.163 1.249 3.532
Cr In P
1 1 1
Direct
0.000 0.000 0.000 Cr
0.500 0.500 0.500 In
0.250 0.250 0.250 P
```



Ordering by calculated energy gives the sequence version P, version Q, with the first entry being the most stable.



Version P
CrInRe: single point on PBEsol structure, SCAN.

- symmetry = P3m1
- D(E_F) (states/eV/f.u.) = 2.304
- M_tot (μB per formula unit) = 1.527

Geometry as POSCAR:
```
CrInRe
1.0
2.866 0.000 0.000
-1.433 2.482 0.000
0.000 0.000 6.550
Cr In Re
1 1 1
Direct
0.000 0.000 0.025 Cr
0.333 0.667 0.675 In
0.667 0.333 0.300 Re
```



Version Q
CrInRe: single point on PBEsol structure, SCAN.

- symmetry = F-43m
- D(E_F) (states/eV/f.u.) = 0.701
- M_tot (μB per formula unit) = 1.956

Geometry as POSCAR:
```
CrInRe
1.0
-3.508 1.060 -2.029
-0.026 0.180 -4.185
-2.094 -2.879 -2.207
Cr In Re
1 1 1
Direct
0.250 0.250 0.250 Cr
0.000 0.000 0.000 In
0.500 0.500 0.500 Re
```



Ordering by calculated energy gives the sequence version P, version Q, with the first entry being the most stable.



Version P
Cr2InRu: single point on PBEsol structure, SCAN.

- symmetry = F-43m
- D(E_F) (states/eV/f.u.) = 4.866
- M_tot (μB per formula unit) = 0.806

Geometry as POSCAR:
```
Cr2InRu
1.0
4.339 0.000 0.000
2.170 3.758 0.000
2.170 1.253 3.543
Cr In Ru
2 1 1
Direct
0.000 0.000 0.000 Cr
0.750 0.750 0.750 Cr
0.500 0.500 0.500 In
0.250 0.250 0.250 Ru
```



Version Q
Cr2InRu: single point on PBEsol structure, SCAN.

- symmetry = Cmm2
- D(E_F) (states/eV/f.u.) = 3.040
- M_tot (μB per formula unit) = 0.001

Geometry as POSCAR:
```
Cr2InRu
1.0
2.736 0.000 0.000
-1.149 2.483 0.000
0.000 0.000 8.339
Cr In Ru
2 1 1
Direct
0.000 0.000 0.987 Cr
0.500 0.500 0.785 Cr
0.000 0.000 0.504 In
0.500 0.500 0.224 Ru
```



Ordering by calculated energy gives the sequence version P, version Q, with the first entry being the most stable.



Version P
CrInTc: single point on PBEsol structure, SCAN.

- symmetry = F-43m
- D(E_F) (states/eV/f.u.) = 0.497
- M_tot (μB per formula unit) = 1.981

Geometry as POSCAR:
```
CrInTc
1.0
4.191 0.000 0.000
2.095 3.629 0.000
2.095 1.210 3.422
Cr In Tc
1 1 1
Direct
0.750 0.750 0.750 Cr
0.000 0.000 0.000 In
0.500 0.500 0.500 Tc
```



Version Q
CrInTc: single point on PBEsol structure, SCAN.

- symmetry = P3m1
- D(E_F) (states/eV/f.u.) = 1.804
- M_tot (μB per formula unit) = 1.215

Geometry as POSCAR:
```
CrInTc
1.0
2.950 0.000 0.000
0.000 4.217 0.000
0.000 -2.108 3.652
Cr In Tc
1 1 1
Direct
0.100 0.000 0.000 Cr
0.678 0.667 0.333 In
0.223 0.333 0.667 Tc
```



Ordering by calculated energy gives the sequence version Q, version P, with the first entry being the most stable.



Version P
TlCrIn: single point on PBEsol structure, SCAN.

- symmetry = F-43m
- D(E_F) (states/eV/f.u.) = 1.655
- M_tot (μB per formula unit) = 3.924

Geometry as POSCAR:
```
TlCrIn
1.0
-2.961 0.968 -3.372
-1.791 -3.389 -2.525
-4.433 -1.102 0.452
Cr In Tl
1 1 1
Direct
0.250 0.250 0.250 Cr
0.000 0.000 0.000 In
0.500 0.500 0.500 Tl
```



Version Q
TlCrIn: single point on PBEsol structure, SCAN.

- symmetry = I4mm
- D(E_F) (states/eV/f.u.) = 1.359
- M_tot (μB per formula unit) = 4.217

Geometry as POSCAR:
```
TlCrIn
1.0
3.191 0.000 0.000
0.000 3.191 0.000
-1.595 -1.595 6.258
Cr In Tl
1 1 1
Direct
0.995 0.995 0.989 Cr
0.352 0.352 0.705 In
0.653 0.653 0.306 Tl
```



Ordering by calculated energy gives the sequence version P, version Q, with the first entry being the most stable.



Version P
ZrCrIn2: single point on PBEsol structure, SCAN.

- symmetry = I4/mmm
- D(E_F) (states/eV/f.u.) = 2.019
- M_tot (μB per formula unit) = 2.164

Geometry as POSCAR:
```
ZrCrIn2
1.0
-3.328 -0.977 2.483
-0.626 -3.571 -2.246
4.545 0.179 2.498
Cr In Zr
1 2 1
Direct
0.500 0.000 0.000 Cr
0.750 0.750 0.500 In
0.250 0.250 0.500 In
0.000 0.500 0.000 Zr
```



Version Q
ZrCrIn2: single point on PBEsol structure, SCAN.

- symmetry = P4/mmm
- D(E_F) (states/eV/f.u.) = 1.755
- M_tot (μB per formula unit) = 3.872

Geometry as POSCAR:
```
ZrCrIn2
1.0
-2.077 -2.161 -0.916
1.936 -2.268 0.960
-3.344 0.178 7.161
Cr In Zr
1 2 1
Direct
0.500 0.500 0.500 Cr
0.000 0.000 0.729 In
0.000 0.000 0.271 In
0.500 0.500 0.000 Zr
```



Ordering by calculated energy gives the sequence version Q, version P, with the first entry being the most stable.